1 | Entry from Alexandria via LeMat-Bulk: crystalline TlAg3C at its relaxed geometry (PBE).

```
data_TlAg3C
_chemical_formula_sum 'Tl1 Ag3 C1'
_cell_length_a 5.345
_cell_length_b 5.345
_cell_length_c 5.345
_cell_angle_alpha 90.00
_cell_angle_beta 90.00
_cell_angle_gamma 90.00
_symmetry_space_group_name_H-M 'P m -3 m'
_symmetry_Int_Tables_number 221
_symmetry_space_group_name_Hall '-P 4 2 3'
loop_
_atom_site_label
_atom_site_fract_x
_atom_site_fract_y
_atom_site_fract_z
Tl1 0.000 0.000 0.000
Ag1 0.000 0.000 0.500
C1 0.500 0.500 0.500
```



2 | Entry from Alexandria via LeMat-Bulk: crystalline TlAg3C at its relaxed geometry (PBE).

```
data_TlAg3C
_chemical_formula_sum 'Tl1 Ag3 C1'
_cell_length_a 4.506
_cell_length_b 4.506
_cell_length_c 4.506
_cell_angle_alpha 90.00
_cell_angle_beta 90.00
_cell_angle_gamma 90.00
_symmetry_space_group_name_H-M 'P m -3 m'
_symmetry_Int_Tables_number 221
_symmetry_space_group_name_Hall '-P 4 2 3'
loop_
_atom_site_label
_atom_site_fract_x
_atom_site_fract_y
_atom_site_fract_z
Tl1 0.000 0.000 0.000
Ag1 0.000 0.500 0.500
C1 0.500 0.500 0.500
```



Which of them is most stable? Easy: 2.



1 | Entry from Alexandria via LeMat-Bulk: crystalline TlAgC3 at its relaxed geometry (PBE).

```
data_TlAgC3
_chemical_formula_sum 'Tl1 Ag1 C3'
_cell_length_a 4.451
_cell_length_b 4.451
_cell_length_c 4.451
_cell_angle_alpha 90.00
_cell_angle_beta 90.00
_cell_angle_gamma 90.00
_symmetry_space_group_name_H-M 'P m -3 m'
_symmetry_Int_Tables_number 221
_symmetry_space_group_name_Hall '-P 4 2 3'
loop_
_atom_site_label
_atom_site_fract_x
_atom_site_fract_y
_atom_site_fract_z
Tl1 0.000 0.000 0.000
Ag1 0.500 0.500 0.500
C1 0.000 0.000 0.500
```



2 | Entry from Alexandria via LeMat-Bulk: crystalline TlAgC3 at its relaxed geometry (PBE).

```
data_TlAgC3
_chemical_formula_sum 'Tl1 Ag1 C3'
_cell_length_a 4.278
_cell_length_b 4.278
_cell_length_c 4.278
_cell_angle_alpha 90.00
_cell_angle_beta 90.00
_cell_angle_gamma 90.00
_symmetry_space_group_name_H-M 'P m -3 m'
_symmetry_Int_Tables_number 221
_symmetry_space_group_name_Hall '-P 4 2 3'
loop_
_atom_site_label
_atom_site_fract_x
_atom_site_fract_y
_atom_site_fract_z
Tl1 0.000 0.000 0.000
Ag1 0.500 0.500 0.500
C1 0.000 0.500 0.500
```



Which of them is most stable? Easy: 2.



1 | Entry from Alexandria via LeMat-Bulk: crystalline Tl2AgC at its relaxed geometry (PBE).

```
data_Tl2AgC
_chemical_formula_sum 'Tl8 Ag4 C4'
_cell_length_a 6.903
_cell_length_b 6.903
_cell_length_c 6.903
_cell_angle_alpha 90.00
_cell_angle_beta 90.00
_cell_angle_gamma 90.00
_symmetry_space_group_name_H-M 'F m -3 m'
_symmetry_Int_Tables_number 225
_symmetry_space_group_name_Hall '-F 4 2 3'
loop_
_atom_site_label
_atom_site_fract_x
_atom_site_fract_y
_atom_site_fract_z
Tl1 0.250 0.250 0.250
Ag1 0.000 0.000 0.000
C1 0.000 0.000 0.500
```



2 | Entry from Alexandria via LeMat-Bulk: crystalline Tl2AgC at its relaxed geometry (PBE).

```
data_Tl2AgC
_chemical_formula_sum 'Tl8 Ag4 C4'
_cell_length_a 6.410
_cell_length_b 6.410
_cell_length_c 9.605
_cell_angle_alpha 90.00
_cell_angle_beta 90.00
_cell_angle_gamma 90.00
_symmetry_space_group_name_H-M 'I -4 2 d'
_symmetry_Int_Tables_number 122
_symmetry_space_group_name_Hall 'I -4 2bw'
loop_
_atom_site_label
_atom_site_fract_x
_atom_site_fract_y
_atom_site_fract_z
Tl1 0.170 0.250 0.125
Ag1 0.000 0.000 0.500
C1 0.000 0.000 0.000
```



Which of them is most stable? Easy: 2.